Record 1
CsTaRh3 | Alexandria via LeMat-Bulk | PBE-GGA | optimized geometry; energy relative to the lowest polymorph listed for this composition = 0 meV per atom
1.0
-4.473 0.867 -1.855
1.762 -0.639 -4.548
-1.042 -4.800 0.271
Rh Cs Ta
3 1 1
direct
0.000 0.000 0.500
0.500 0.000 0.000
0.000 0.500 0.000
0.500 0.500 0.500
0.000 0.000 0.000


Record 2
Pm2Pr5Y5 | PBE-GGA | optimized geometry

POSCAR file:
```
Pm2Pr5Y5
1.0
5.036 0.000 1.076
2.224 7.594 1.913
0.299 0.624 10.921
Y Pr Pm
5 5 2
direct
0.667 0.666 0.000
0.333 0.334 0.000
0.582 0.085 0.751
0.500 0.500 0.500
0.418 0.915 0.249
0.834 0.832 0.499
0.750 0.252 0.248
0.000 0.000 0.000
0.166 0.168 0.501
0.250 0.748 0.752
0.917 0.414 0.752
0.083 0.586 0.248
```


Record 3
CoRe2Ru | Alexandria via LeMat-Bulk | PBE-GGA | optimized geometry; energy relative to the lowest polymorph listed for this composition = 100 meV per atom
1.0
4.644 0.000 -0.012
1.556 4.376 0.012
-3.092 -2.199 2.678
Co Re Ru
1 2 1
direct
0.250 0.750 0.500
0.500 0.500 0.000
0.000 0.000 0.000
0.750 0.250 0.500


Record 4
ErMgGa4 | Alexandria via LeMat-Bulk | PBE-GGA | optimized geometry; energy relative to the lowest polymorph listed for this composition = 0 meV per atom
1.0
-3.800 2.095 0.384
-3.316 -2.216 3.981
-0.114 3.514 4.404
Ga Er Mg
4 1 1
direct
0.336 0.447 0.381
0.335 0.881 0.948
0.664 0.553 0.619
0.665 0.119 0.052
0.000 0.000 0.500
0.000 0.500 0.000


| no. | electronic total energy (eV per atom) | DFT formation energy (meV per atom) |
| --- | --- | --- |
| 1 | -6.22 | 731 |
| 2 | -5.46 | 14 |
| 3 | -10.28 | 42 |
| 4 | -3.42 | -378 |